Material: CsNi2AgF8
Method: DFT, PBE+U
State: relaxed

Cell: 4.969 5.106 8.699 Å, 84.62 88.42 81.25°
Each line ends with the local moment (μB).
Fractional coordinates of all 12 atoms:
Cs: 0.000 0.000 0.500  0.00
Ni: 0.517 0.537 0.829  1.78
Ni: 0.483 0.463 0.171  1.78
Ag: 0.000 0.000 0.000  0.07
F: 0.148 0.738 0.177  0.03
F: 0.630 0.704 0.009  0.05
F: 0.844 0.223 0.168  0.03
F: 0.852 0.262 0.823  0.03
F: 0.370 0.296 0.991  0.05
F: 0.156 0.777 0.832  0.03
F: 0.582 0.681 0.629  0.01
F: 0.418 0.319 0.371  0.01

Computed properties:
- SG = P-1 (2)
- crystal system = triclinic
- density (g cm⁻³) = 3.90
- E (eV/atom) = -3.815